Density functional theory data (PBEsol) for a geometry-optimized TiAl2Cr3C2 structure.

Unit cell a=2.8671 b=2.8671 c=12.8190 alpha=90.00 beta=90.00 gamma=120.00
Space group P3m1 (No. 156)
Inequivalent atoms, fractional coordinates:
Ti 0.0000 0.0000 0.0000 [1 per cell]
Al 0.0000 0.0000 0.3381 [1 per cell]
Al 0.3333 0.6667 0.8208 [1 per cell]
Cr 0.0000 0.0000 0.6610 [1 per cell]
Cr 0.3333 0.6667 0.1754 [1 per cell]
Cr 0.3333 0.6667 0.4990 [1 per cell]
C 0.6667 0.3333 0.0960 [1 per cell]
C 0.6667 0.3333 0.5801 [1 per cell]

Values from the calculation:
Final energy   -0.6371 Ry per atom
ΔE_f   -0.353 eV per atom